[1]
Here is an optimized crystal structure of NdEr3Tm3 from the Alexandria database. Energies are from PBE.

Properties
The volume comes out at 888.3 Å³/cell. The calculation puts the final energy at -4.43 eV/atom. As for the total magnetization: 0.00 μB/atom. As for the energy above the lowest structure with this stoichiometry: 116 meV/atom.

The structure in extended XYZ format:
```
28
Lattice="7.981 -8.302 0.000 7.981 8.302 0.000 -1.378 0.000 6.703" Properties=species:S:1:pos:R:3 pbc="T T T"
Nd 0.000 0.000 0.000
Nd 9.130 5.712 5.739
Nd 11.902 0.000 4.541
Nd 9.130 -5.712 5.739
Er 4.590 4.909 1.156
Er 4.405 1.723 4.835
Er 6.980 3.411 3.544
Er 9.983 5.060 2.509
Er 4.405 -1.723 4.835
Er 7.028 0.000 3.551
Er 9.841 1.727 2.388
Er 4.590 -4.909 1.156
Er 6.980 -3.411 3.544
Er 9.841 -1.727 2.388
Er 12.492 0.000 1.155
Er 9.983 -5.060 2.509
Tm 4.114 4.994 4.548
Tm 6.905 6.659 3.065
Tm 2.001 0.000 3.026
Tm 4.910 1.655 1.474
Tm 7.708 3.747 0.247
Tm 4.910 -1.655 1.474
Tm 7.778 0.000 0.257
Tm 9.053 1.848 5.705
Tm 4.114 -4.994 4.548
Tm 7.708 -3.747 0.247
Tm 9.053 -1.848 5.705
Tm 6.905 -6.659 3.065
```

[2]
Here is an optimized crystal structure of Nd5Er4Tm from the Alexandria database. Energies are from PBE.

Properties
The volume comes out at 338.9 Å³/cell. The calculation puts the final energy at -4.51 eV/atom. As for the total magnetization: 0.00 μB/atom. As for the energy above the lowest structure with this stoichiometry: 122 meV/atom.

The structure in extended XYZ format:
```
10
Lattice="9.088 -1.792 0.000 9.088 1.792 0.000 -1.133 0.000 10.402" Properties=species:S:1:pos:R:3 pbc="T T T"
Nd 0.000 0.000 0.000
Nd 4.625 0.000 9.373
Nd 6.208 0.000 2.830
Nd 10.835 0.000 7.572
Nd 12.418 0.000 1.029
Er 2.842 0.000 4.321
Er 7.421 0.000 7.642
Er 9.623 0.000 2.760
Er 14.202 0.000 6.081
Tm -0.567 0.000 5.201
```

[3]
Here is an optimized crystal structure of NdEr12Tm6 from the Alexandria database. Energies are from PBE.

Properties
The volume comes out at 636.3 Å³/cell. The calculation puts the final energy at -4.11 eV/atom. As for the total magnetization: 0.00 μB/atom. As for the energy above the lowest structure with this stoichiometry: 277 meV/atom.

The structure in extended XYZ format:
```
19
Lattice="7.399 4.272 3.355 -7.399 4.272 3.355 0.000 -8.544 3.355" Properties=species:S:1:pos:R:3 pbc="T T T"
Nd 0.000 0.000 0.000
Er -2.874 -4.978 5.033
Er -5.749 0.000 5.033
Er -1.647 -0.951 2.910
Er 1.647 -0.951 2.910
Er 0.000 1.902 2.910
Er 2.874 -4.978 5.033
Er -2.874 4.978 5.033
Er 0.000 -1.902 7.156
Er -1.647 0.951 7.156
Er 1.647 0.951 7.156
Er 5.749 0.000 5.033
Er 2.874 4.978 5.033
Tm -3.088 -1.783 5.544
Tm 0.000 -3.565 4.521
Tm -3.088 1.783 4.521
Tm 3.088 -1.783 5.544
Tm 0.000 3.565 5.544
Tm 3.088 1.783 4.521
```

[4]
Here is an optimized crystal structure of Nd6Er5Tm2 from the Alexandria database. Energies are from PBE.

Properties
The volume comes out at 862.6 Å³/cell. The calculation puts the final energy at -4.54 eV/atom. As for the total magnetization: 0.00 μB/atom.

The structure in extended XYZ format:
```
26
Lattice="11.640 0.000 0.000 0.000 20.543 0.000 0.000 0.000 3.608" Properties=species:S:1:pos:R:3 pbc="T T T"
Nd 0.711 1.654 0.000
Nd 0.985 7.545 0.000
Nd 1.991 13.062 1.804
Nd 3.829 2.790 1.804
Nd 4.834 17.817 0.000
Nd 5.109 11.926 0.000
Nd 6.531 8.618 0.000
Nd 6.805 2.727 0.000
Nd 7.811 17.753 1.804
Nd 9.649 7.482 1.804
Nd 10.654 12.998 0.000
Nd 10.929 18.889 0.000
Er 0.000 10.272 1.804
Er 1.092 4.661 1.804
Er 2.298 19.388 1.804
Er 3.521 9.116 1.804
Er 4.728 14.933 1.804
Er 5.820 0.000 1.804
Er 6.912 5.610 1.804
Er 8.118 11.427 1.804
Er 9.341 1.155 1.804
Er 10.548 15.882 1.804
Tm 1.911 16.234 0.000
Tm 3.908 5.962 0.000
Tm 7.731 14.581 0.000
Tm 9.728 4.309 0.000
```

[5]
Here is an optimized crystal structure of Nd4Er4Tm5 from the Alexandria database. Energies are from PBE.

Properties
The volume comes out at 412.3 Å³/cell. The calculation puts the final energy at -4.57 eV/atom. As for the total magnetization: 0.00 μB/atom.

The structure in extended XYZ format:
```
13
Lattice="-6.411 6.411 2.508 6.411 -6.411 2.508 6.411 6.411 -2.508" Properties=species:S:1:pos:R:3 pbc="T T T"
Nd 7.928 1.009 0.000
Nd 1.009 4.894 0.000
Nd 5.403 1.517 2.508
Nd -1.517 5.403 2.508
Er 2.932 1.961 0.000
Er 4.450 -3.480 2.508
Er 1.961 9.891 0.000
Er 3.480 4.450 2.508
Tm 0.000 0.000 0.000
Tm 5.912 3.992 0.000
Tm 2.419 -0.499 2.508
Tm 3.992 6.911 0.000
Tm 0.499 2.419 2.508
```

[6]
Here is an optimized crystal structure of Nd3Er6Tm from the Alexandria database. Energies are from PBE.

Properties
The volume comes out at 322.0 Å³/cell. The calculation puts the final energy at -4.46 eV/atom. As for the total magnetization: 0.00 μB/atom. As for the energy above the lowest structure with this stoichiometry: 7 meV/atom.

The structure in extended XYZ format:
```
10
Lattice="6.505 0.000 0.000 3.239 5.653 0.000 3.239 -1.802 8.756" Properties=species:S:1:pos:R:3 pbc="T T T"
Nd 0.000 0.000 0.000
Nd 5.984 1.905 6.037
Nd 6.998 1.947 2.719
Er 4.634 4.327 2.759
Er 3.281 1.880 0.455
Er 8.358 4.355 5.997
Er 4.625 -0.503 2.760
Er 9.701 1.972 8.301
Er 8.348 -0.475 5.997
Tm 3.239 1.926 4.378
```

[7]
Here is an optimized crystal structure of Nd2ErTm from the Alexandria database. Energies are from PBE.

Properties
The volume comes out at 265.2 Å³/cell. The calculation puts the final energy at -4.62 eV/atom. As for the total magnetization: 0.00 μB/atom. As for the energy above the lowest structure with this stoichiometry: 5 meV/atom.

The structure in extended XYZ format:
```
8
Lattice="5.750 0.000 0.000 0.000 7.332 0.000 0.000 0.000 6.290" Properties=species:S:1:pos:R:3 pbc="T T T"
Nd 1.437 0.002 1.070
Nd 1.437 3.664 1.070
Nd 4.312 7.330 5.220
Nd 4.312 3.668 5.220
Er 1.437 1.833 4.177
Er 4.312 5.499 2.113
Tm 1.437 5.499 4.179
Tm 4.312 1.833 2.111
```

[8]
Here is an optimized crystal structure of NdEr3Tm5 from the Alexandria database. Energies are from PBE.

Properties
The volume comes out at 561.9 Å³/cell. The calculation puts the final energy at -4.40 eV/atom. As for the total magnetization: 0.00 μB/atom. As for the energy above the lowest structure with this stoichiometry: 0 meV/atom.

The structure in extended XYZ format:
```
18
Lattice="-3.585 8.561 4.577 3.585 -8.561 4.577 3.585 8.561 -4.577" Properties=species:S:1:pos:R:3 pbc="T T T"
Nd 0.000 4.280 0.938
Nd 3.585 4.280 3.639
Er 1.793 4.280 -2.288
Er 1.793 -4.280 2.288
Er 3.585 7.486 -2.288
Er 3.585 -1.075 2.288
Er 0.000 9.636 2.289
Er 0.000 1.075 6.864
Tm 1.808 1.483 0.624
Tm 5.363 1.483 0.624
Tm 3.585 4.280 0.397
Tm 1.808 7.078 0.624
Tm 1.778 -1.483 5.200
Tm 1.808 10.044 -0.624
Tm 1.778 1.483 3.953
Tm 0.000 4.280 4.180
Tm -1.778 7.078 3.953
Tm 1.778 7.078 3.953
```

[9]
Here is an optimized crystal structure of Nd2Er5Tm2 from the Alexandria database. Energies are from PBE.

Properties
The volume comes out at 581.7 Å³/cell. The calculation puts the final energy at -4.37 eV/atom. As for the total magnetization: 0.00 μB/atom. As for the energy above the lowest structure with this stoichiometry: 0 meV/atom.

The structure in extended XYZ format:
```
18
Lattice="-7.433 5.840 3.350 7.433 -5.840 3.350 7.433 5.840 -3.350" Properties=species:S:1:pos:R:3 pbc="T T T"
Nd 1.891 0.057 0.000
Nd 5.542 0.057 0.000
Nd 1.891 5.782 3.350
Nd 5.542 5.782 3.350
Er 9.559 3.084 -1.153
Er 5.308 -2.756 2.197
Er 3.717 2.929 -0.994
Er 0.789 3.012 1.007
Er 6.645 3.012 1.007
Er -2.126 2.756 2.197
Er 9.559 2.756 2.197
Er 3.717 2.911 2.356
Er -0.789 8.668 1.007
Er 0.789 2.828 4.357
Tm 0.000 0.000 3.009
Tm 7.433 0.000 3.009
Tm 3.717 -0.158 3.699
Tm 3.717 5.998 0.349
```

[10]
Here is an optimized crystal structure of NdEr3Tm5 from the Alexandria database. Energies are from PBE.

Properties
The volume comes out at 604.1 Å³/cell. The calculation puts the final energy at -4.10 eV/atom. As for the total magnetization: 0.00 μB/atom. As for the energy above the lowest structure with this stoichiometry: 292 meV/atom.

The structure in extended XYZ format:
```
18
Lattice="8.362 -3.935 0.000 8.362 3.935 0.000 -7.794 0.000 9.179" Properties=species:S:1:pos:R:3 pbc="T T T"
Nd 2.925 0.000 1.216
Nd 6.006 0.000 7.962
Er 0.000 0.000 0.000
Er 0.171 0.000 3.108
Er 0.994 0.000 6.267
Er 4.465 0.000 4.589
Er 7.936 0.000 2.911
Er 8.759 0.000 6.071
Tm -2.382 0.000 5.185
Tm 5.572 2.304 2.007
Tm 3.359 2.304 7.172
Tm -2.234 0.000 8.501
Tm 8.362 1.396 0.000
Tm 8.362 -1.396 0.000
Tm 11.165 0.000 0.677
Tm 5.572 -2.304 2.007
Tm 3.359 -2.304 7.172
Tm 11.312 0.000 3.994
```

[11]
Here is an optimized crystal structure of Nd3Er8Tm2 from the Alexandria database. Energies are from PBE.

Properties
The volume comes out at 428.5 Å³/cell. The calculation puts the final energy at -4.34 eV/atom. As for the total magnetization: 0.00 μB/atom. As for the energy above the lowest structure with this stoichiometry: 10 meV/atom.

The structure in extended XYZ format:
```
13
Lattice="9.930 -3.849 0.000 9.930 3.849 0.000 -0.002 0.000 5.605" Properties=species:S:1:pos:R:3 pbc="T T T"
Nd 0.000 0.000 0.000
Nd 9.929 1.594 2.803
Nd 9.929 -1.594 2.803
Er 2.695 0.000 2.801
Er 7.737 1.605 5.604
Er 6.498 0.000 2.800
Er 12.121 1.605 0.001
Er 7.737 -1.605 5.604
Er 13.360 0.000 2.805
Er 12.121 -1.605 0.001
Er 17.164 0.000 2.804
Tm 4.782 0.000 5.602
Tm 15.077 0.000 0.003
```

[12]
Here is an optimized crystal structure of Nd2Er3Tm5 from the Alexandria database. Energies are from PBE.

Properties
The volume comes out at 676.2 Å³/cell. The calculation puts the final energy at -4.13 eV/atom. As for the total magnetization: 0.00 μB/atom. As for the energy above the lowest structure with this stoichiometry: 230 meV/atom.

The structure in extended XYZ format:
```
20
Lattice="-4.666 10.807 3.353 4.666 -10.807 3.353 4.666 10.807 -3.353" Properties=species:S:1:pos:R:3 pbc="T T T"
Nd 0.966 2.718 0.000
Nd 5.632 8.088 0.000
Nd -0.966 2.718 3.353
Nd 3.700 8.088 3.353
Er 6.992 2.716 0.000
Er 0.000 0.000 1.676
Er 2.326 8.091 0.000
Er 2.340 2.716 3.353
Er 0.000 0.000 5.029
Er -2.326 8.091 3.353
Tm 4.666 -5.353 1.676
Tm 3.866 2.683 0.000
Tm 4.666 0.000 1.676
Tm 3.866 -2.683 3.353
Tm 4.666 5.353 1.676
Tm 0.000 5.454 1.676
Tm 0.800 13.489 0.000
Tm 0.000 10.807 1.676
Tm 0.800 8.124 3.353
Tm 0.000 16.160 1.676
```

[13]
Here is an optimized crystal structure of NdEr3Tm3 from the Alexandria database. Energies are from PBE.

Properties
The volume comes out at 437.5 Å³/cell. The calculation puts the final energy at -4.55 eV/atom. As for the total magnetization: 0.00 μB/atom. As for the energy above the lowest structure with this stoichiometry: 0 meV/atom.

The structure in extended XYZ format:
```
14
Lattice="9.493 0.000 0.000 -4.746 8.221 0.000 0.000 0.000 5.606" Properties=species:S:1:pos:R:3 pbc="T T T"
Nd 0.000 5.481 1.401
Nd 4.746 2.740 4.204
Er -3.395 6.673 1.401
Er 0.665 1.944 1.401
Er 2.016 0.396 4.204
Er 2.731 7.825 1.401
Er 4.082 6.277 4.204
Er 8.142 1.548 4.204
Tm -2.030 5.092 4.204
Tm 1.352 3.916 4.204
Tm 4.068 0.787 1.401
Tm 0.679 7.433 4.204
Tm 3.394 4.304 1.401
Tm 6.777 3.129 1.401
```

[14]
Here is an optimized crystal structure of Nd2Er4Tm from the Alexandria database. Energies are from PBE.

Properties
The volume comes out at 451.8 Å³/cell. The calculation puts the final energy at -4.42 eV/atom. As for the total magnetization: 0.00 μB/atom. As for the energy above the lowest structure with this stoichiometry: 31 meV/atom.

The structure in extended XYZ format:
```
14
Lattice="-5.754 5.858 3.351 5.754 -5.858 3.351 5.754 5.858 -3.351" Properties=species:S:1:pos:R:3 pbc="T T T"
Nd 0.000 0.000 0.000
Nd 5.754 0.000 0.000
Nd 2.877 2.597 -0.763
Nd 2.877 3.261 2.589
Er 2.877 -0.039 1.511
Er 8.631 0.039 1.511
Er -0.022 4.062 0.112
Er 5.776 4.062 0.112
Er 2.877 -0.015 4.487
Er 0.022 7.654 0.112
Er -0.022 1.796 3.463
Er 2.877 5.872 1.136
Tm 8.631 2.637 -0.752
Tm -2.877 3.221 2.599
```

[15]
Here is an optimized crystal structure of NdEr5Tm4 from the Alexandria database. Energies are from PBE.

Properties
The volume comes out at 318.8 Å³/cell. The calculation puts the final energy at -4.23 eV/atom. As for the total magnetization: 0.00 μB/atom. As for the energy above the lowest structure with this stoichiometry: 287 meV/atom.

The structure in extended XYZ format:
```
10
Lattice="-5.041 5.041 3.137 5.041 -5.041 3.137 5.041 5.041 -3.137" Properties=species:S:1:pos:R:3 pbc="T T T"
Nd 0.000 0.000 0.000
Er 3.600 2.672 -1.418
Er 2.369 -1.440 1.719
Er 2.672 6.481 -1.418
Er 1.440 2.369 1.719
Er 0.000 0.000 3.417
Tm 5.560 -1.518 1.698
Tm 4.521 1.518 1.698
Tm -1.518 4.521 1.698
Tm 1.518 5.560 1.698
```

[16]
Here is an optimized crystal structure of Nd2ErTm8 from the Alexandria database. Energies are from PBE.

Properties
The volume comes out at 348.8 Å³/cell. The calculation puts the final energy at -4.36 eV/atom. As for the total magnetization: 0.00 μB/atom. As for the energy above the lowest structure with this stoichiometry: 5 meV/atom.

The structure in extended XYZ format:
```
11
Lattice="8.185 -3.277 0.000 8.185 3.277 0.000 -1.187 0.000 6.503" Properties=species:S:1:pos:R:3 pbc="T T T"
Nd 3.642 0.000 2.030
Nd 11.541 0.000 4.473
Er 0.000 0.000 0.000
Tm 6.071 1.570 3.906
Tm 2.295 0.000 5.219
Tm 9.113 1.570 2.597
Tm 6.622 0.000 0.611
Tm 8.561 0.000 5.892
Tm 6.071 -1.570 3.906
Tm 12.888 0.000 1.284
Tm 9.113 -1.570 2.597
```

[17]
Here is an optimized crystal structure of Nd12Er6Tm from the Alexandria database. Energies are from PBE.

Properties
The volume comes out at 649.8 Å³/cell. The calculation puts the final energy at -4.56 eV/atom. As for the total magnetization: 0.00 μB/atom. As for the energy above the lowest structure with this stoichiometry: 115 meV/atom.

The structure in extended XYZ format:
```
19
Lattice="6.068 3.503 5.095 -6.068 3.503 5.095 0.000 -7.006 5.095" Properties=species:S:1:pos:R:3 pbc="T T T"
Nd -2.095 -0.014 2.924
Nd 1.060 -1.807 2.924
Nd -2.115 -0.500 6.360
Nd 1.035 1.821 2.924
Nd -0.625 -2.081 8.926
Nd 1.490 -1.582 6.360
Nd -1.490 1.582 8.926
Nd 0.625 2.081 6.360
Nd -1.035 -1.821 12.362
Nd 2.115 0.500 8.926
Nd -1.060 1.807 12.362
Nd 2.095 0.014 12.362
Er -0.966 -3.684 5.418
Er -2.707 2.678 5.418
Er -3.673 -1.005 9.868
Er 3.673 1.005 5.418
Er 2.707 -2.678 9.868
Er 0.966 3.684 9.868
Tm 0.000 0.000 0.000
```

[18]
Here is an optimized crystal structure of NdErTm from the Alexandria database. Energies are from PBE.

Properties
The volume comes out at 384.2 Å³/cell. The calculation puts the final energy at -4.56 eV/atom. As for the total magnetization: 0.00 μB/atom. As for the energy above the lowest structure with this stoichiometry: 25 meV/atom.

The structure in extended XYZ format:
```
12
Lattice="3.526 0.000 0.000 0.000 20.211 0.000 0.000 0.000 5.391" Properties=species:S:1:pos:R:3 pbc="T T T"
Nd 0.000 4.157 1.348
Nd 0.000 16.054 4.044
Nd 1.763 5.949 4.044
Nd 1.763 14.262 1.348
Er 0.000 7.829 1.348
Er 0.000 12.382 4.044
Er 1.763 2.277 4.044
Er 1.763 17.934 1.348
Tm 0.000 0.817 1.348
Tm 0.000 19.394 4.044
Tm 1.763 9.288 4.044
Tm 1.763 10.922 1.348
```